# LaMoP2S

A relaxed LaMoP2S crystal (GGA-PBE, Alexandria via LeMat-Bulk).

Unit cell a=4.6116 b=4.6116 c=5.0333 alpha=90.00 beta=90.00 gamma=90.00
Last column: nearest neighbours and their distance in Å.
Space group P4/mmm (No. 123)
Asymmetric unit:
La: 0.0000 0.0000 0.0000 [1 per cell]  4 S 3.26, 8 P 3.41
Mo: 0.5000 0.5000 0.5000 [1 per cell]  4 P 2.31, 2 S 2.52
P: 0.0000 0.5000 0.5000 [2 per cell]  2 Mo 2.31
S: 0.5000 0.5000 0.0000 [1 per cell]  2 Mo 2.52

Calculated values
**Electronic total energy**: -6.758 eV/atom

# LaMoPS2

A relaxed LaMoPS2 crystal (GGA-PBE, Alexandria via LeMat-Bulk).

Unit cell a=5.4159 b=5.4159 c=5.5703 alpha=90.00 beta=90.00 gamma=90.00
Last column: nearest neighbours and their distance in Å.
Space group P4/mmm (No. 123)
Asymmetric unit:
La: 0.0000 0.0000 0.0000 [1 per cell]  4 S 2.71, 2 P 2.79
Mo: 0.5000 0.5000 0.5000 [1 per cell]  4 P 3.83, 8 S 3.88
P: 0.0000 0.0000 0.5000 [1 per cell]  2 La 2.79
S: 0.0000 0.5000 0.0000 [2 per cell]  2 La 2.71

Calculated values
**Electronic total energy**: -5.121 eV/atom

# LaMoPS2

A relaxed LaMoPS2 crystal (GGA-PBE, Alexandria via LeMat-Bulk).

Unit cell a=4.7387 b=4.7387 c=4.7204 alpha=90.00 beta=90.00 gamma=90.00
Last column: nearest neighbours and their distance in Å.
Space group P4/mmm (No. 123)
Asymmetric unit:
La: 0.0000 0.0000 0.0000 [1 per cell]  8 S 3.34, 4 P 3.35
Mo: 0.5000 0.5000 0.5000 [1 per cell]  2 P 2.36, 4 S 2.37
P: 0.5000 0.5000 0.0000 [1 per cell]  2 Mo 2.36
S: 0.0000 0.5000 0.5000 [2 per cell]  2 Mo 2.37

Calculated values
**Electronic total energy**: -6.676 eV/atom

Record order is preserved below.
Energy relative to the elements, uncorrected: -617, 763, -792 meV per atom